[1]
The following is a DFT calculation (GGA-PBE) of an optimized crystal structure of YScIr.

The structure in extended XYZ format:
```
6
Lattice="-0.989 0.751 4.184 -4.003 -1.654 -0.530 2.020 -6.589 2.071" Properties=species:S:1:pos:R:3 pbc="T T T"
Y -3.093 -4.452 4.042
Y -1.263 -2.270 1.758
Sc -0.401 -6.044 5.134
Sc -1.934 -7.268 2.737
Ir -3.807 -1.771 3.130
Ir -0.548 -4.952 2.670
```

symmetry	C2/m
energy of formation from the pure elements	-2.15	eV/f.u.
polymorph energy (0 for the lowest one)	4.66	kJ per mole of atoms

***

[2]
The following is a DFT calculation (GGA-PBE) of an optimized crystal structure of Y2ScIr.

The structure in extended XYZ format:
```
4
Lattice="-4.871 -4.316 -6.693 -6.848 -5.223 -3.602 -7.434 -1.905 -5.314" Properties=species:S:1:pos:R:3 pbc="T T T"
Ir -4.788 -2.861 -3.902
Sc -14.364 -8.583 -11.707
Y -18.747 -11.202 -15.279
Y -9.982 -5.964 -8.135
```

symmetry	R-3m
energy of formation from the pure elements	-0.76	eV/f.u.
polymorph energy (0 for the lowest one)	29.35	kJ per mole of atoms

***

[3]
The following is a DFT calculation (GGA-PBE) of an optimized crystal structure of YSc2Ir.

The structure in extended XYZ format:
```
4
Lattice="9.169 -0.039 -0.023 8.459 3.539 -0.023 8.459 1.680 3.115" Properties=species:S:1:pos:R:3 pbc="T T T"
Ir 6.522 1.295 0.767
Sc 25.412 5.046 2.990
Sc 13.719 2.724 1.614
Y 19.565 3.885 2.302
```

symmetry	R-3m
energy of formation from the pure elements	-1.09	eV/f.u.
polymorph energy (0 for the lowest one)	30.40	kJ per mole of atoms

***

[4]
The following is a DFT calculation (GGA-PBE) of an optimized crystal structure of YSc3Ir2.

The structure in extended XYZ format:
```
12
Lattice="-1.793 3.761 1.135 -5.726 -1.654 -3.565 -3.247 -3.628 6.898" Properties=species:S:1:pos:R:3 pbc="T T T"
Y -5.727 -1.069 2.713
Y -2.360 0.322 3.423
Sc -5.753 -4.128 4.595
Sc -5.911 -1.931 -2.936
Sc -5.142 0.198 -0.560
Sc -4.422 -1.371 5.776
Sc -3.059 -1.718 0.862
Sc -7.155 -3.922 1.699
Ir -7.983 -2.473 3.806
Ir -2.797 0.949 0.653
Ir -3.515 -2.768 3.624
Ir -5.393 -2.495 -0.250
```

symmetry	Pmc2_1
energy of formation from the pure elements	-4.64	eV/f.u.

***

[5]
The following is a DFT calculation (GGA-PBE) of an optimized crystal structure of YSc2Ir.

The structure in extended XYZ format:
```
16
Lattice="6.042 0.000 0.000 0.000 7.115 0.000 0.000 0.000 8.656" Properties=species:S:1:pos:R:3 pbc="T T T"
Y 3.745 3.769 2.164
Y 5.318 0.212 2.164
Y 2.297 3.346 6.492
Y 0.724 6.904 6.492
Sc 0.971 4.796 0.530
Sc 2.050 1.239 3.798
Sc 5.071 2.319 4.858
Sc 3.992 5.877 8.126
Sc 5.071 2.319 8.126
Sc 3.992 5.877 4.858
Sc 0.971 4.796 3.798
Sc 2.050 1.239 0.530
Ir 0.433 2.729 2.164
Ir 2.588 6.286 2.164
Ir 5.609 4.387 6.492
Ir 3.454 0.829 6.492
```

symmetry	Pnma
energy of formation from the pure elements	-2.35	eV/f.u.
polymorph energy (0 for the lowest one)	0.00	kJ per mole of atoms

***

[6]
The following is a DFT calculation (GGA-PBE) of an optimized crystal structure of Y2ScIr.

The structure in extended XYZ format:
```
4
Lattice="0.000 3.573 3.573 3.573 0.000 3.573 3.573 3.573 0.000" Properties=species:S:1:pos:R:3 pbc="T T T"
Y 1.786 1.786 1.786
Y 5.359 5.359 5.359
Sc 0.000 0.000 0.000
Ir 3.573 3.573 3.573
```

symmetry	Fm-3m
energy of formation from the pure elements	-0.96	eV/f.u.
polymorph energy (0 for the lowest one)	24.58	kJ per mole of atoms

***

[7]
The following is a DFT calculation (GGA-PBE) of an optimized crystal structure of YSc2Ir9.

The structure in extended XYZ format:
```
12
Lattice="-2.482 -3.890 2.500 2.079 -4.818 0.076 4.129 -0.949 8.133" Properties=species:S:1:pos:R:3 pbc="T T T"
Y 0.000 0.000 0.000
Sc 1.380 -7.891 5.619
Sc 2.346 -1.766 5.090
Ir -0.264 -5.803 1.726
Ir 3.990 -3.854 8.982
Ir 1.863 -4.829 5.354
Ir 0.875 -3.850 3.121
Ir -0.376 -5.810 4.381
Ir 1.923 -6.277 3.159
Ir 2.851 -5.807 7.588
Ir 1.803 -3.380 7.549
Ir 4.101 -3.847 6.328
```

symmetry	R-3m
energy of formation from the pure elements	-6.49	eV/f.u.

***

[8]
The following is a DFT calculation (GGA-PBE) of an optimized crystal structure of Y3ScIr2.

The structure in extended XYZ format:
```
6
Lattice="-1.052 -2.076 3.420 -3.459 -2.043 -2.304 6.771 -3.403 -2.485" Properties=species:S:1:pos:R:3 pbc="T T T"
Y -2.255 -2.059 0.558
Y 2.329 -4.491 0.492
Y -0.069 -3.031 -1.861
Sc 0.000 0.000 0.000
Ir 1.652 -5.115 -2.597
Ir 0.608 -2.407 1.227
```

symmetry	Immm
energy of formation from the pure elements	-3.72	eV/f.u.

***

[9]
The following is a DFT calculation (GGA-PBE) of an optimized crystal structure of YSc3Ir4.

The structure in extended XYZ format:
```
16
Lattice="-1.352 1.030 4.187 0.663 -6.643 1.849 8.580 1.523 2.395" Properties=species:S:1:pos:R:3 pbc="T T T"
Y 0.332 -3.321 0.925
Y 4.622 -2.560 2.122
Sc 0.000 0.000 0.000
Sc 4.290 0.762 1.197
Sc 5.759 1.658 3.889
Sc 1.469 0.896 2.693
Sc 6.091 -1.664 4.814
Sc 1.801 -2.425 3.617
Ir -0.171 -4.544 3.502
Ir 4.119 -3.783 4.699
Ir -0.518 -1.068 2.534
Ir 3.772 -0.307 3.732
Ir 5.589 -2.887 7.391
Ir 2.650 -4.678 2.008
Ir 2.303 -1.203 1.040
Ir 5.242 0.589 6.423
```

symmetry	P4/mmm
energy of formation from the pure elements	-7.42	eV/f.u.

***

[10]
The following is a DFT calculation (GGA-PBE) of an optimized crystal structure of Y2ScIr.

The structure in extended XYZ format:
```
4
Lattice="-4.253 -0.768 -4.422 1.689 -2.367 -5.457 -0.310 -0.843 6.118" Properties=species:S:1:pos:R:3 pbc="T T T"
Y 0.000 0.000 -0.001
Y -2.804 -1.443 -1.163
Sc -0.094 -2.562 -2.685
Ir -1.259 -1.540 -4.851
```

symmetry	Imm2
energy of formation from the pure elements	-1.98	eV/f.u.
polymorph energy (0 for the lowest one)	0.00	kJ per mole of atoms

***

[11]
The following is a DFT calculation (GGA-PBE) of an optimized crystal structure of YSc2Ir.

The structure in extended XYZ format:
```
4
Lattice="5.784 0.008 0.000 2.814 5.054 0.000 -4.299 -2.531 2.927" Properties=species:S:1:pos:R:3 pbc="T T T"
Ir 2.892 0.004 1.464
Sc 0.000 0.000 0.000
Sc 4.299 2.531 0.000
Y 1.407 2.527 1.464
```

symmetry	I4/mmm
energy of formation from the pure elements	-0.99	eV/f.u.
polymorph energy (0 for the lowest one)	32.87	kJ per mole of atoms

***

[12]
The following is a DFT calculation (GGA-PBE) of an optimized crystal structure of YSc4Ir5.

The structure in extended XYZ format:
```
10
Lattice="-2.695 1.670 0.344 -0.927 -1.975 2.327 7.704 10.043 11.591" Properties=species:S:1:pos:R:3 pbc="T T T"
Y 0.000 0.000 0.000
Sc 1.600 2.085 2.407
Sc 3.102 4.044 4.667
Sc 4.602 5.999 6.924
Sc 6.105 7.957 9.184
Ir -0.936 0.989 2.652
Ir 0.549 2.925 4.887
Ir 2.041 4.869 7.131
Ir 3.533 6.814 9.375
Ir 5.018 8.750 11.610
```

symmetry	P4/mmm
energy of formation from the pure elements	-9.59	eV/f.u.